No. 1
Density functional theory data (GGA-PBE) for crystalline CaAc4Sn2 at its relaxed geometry.

E = -28.2 eV/f.u.
Density of states at the Fermi level = 8.3 states/eV/f.u.
Energy of formation from the pure elements = -258 meV/atom
Magnetization = 0.0 μB per cell

Structure (CIF):
```
data_CaAc4Sn2
_cell_length_a 7.9764
_cell_length_b 8.3870
_cell_length_c 10.0886
_cell_angle_alpha 70.20
_cell_angle_beta 70.30
_cell_angle_gamma 68.22
_symmetry_space_group_name_H-M 'P 1'
_symmetry_Int_Tables_number 1
loop_
_symmetry_equiv_pos_as_xyz
'x,y,z'
loop_
_atom_site_label
_atom_site_fract_x
_atom_site_fract_y
_atom_site_fract_z
_atom_site_occupancy
Ca1 0.0000 0.0000 0.0000 1
Ca2 0.4673 0.6998 0.9411 1
Ac1 0.0838 0.7293 0.7244 1
Ac2 0.1294 0.6637 0.3087 1
Ac3 0.1482 0.3346 0.0841 1
Ac4 0.1843 0.2012 0.5934 1
Ac5 0.4989 0.8524 0.2424 1
Ac6 0.6114 0.2746 0.2409 1
Ac7 0.6473 0.1760 0.7652 1
Ac8 0.6801 0.7547 0.5676 1
Sn1 0.4350 0.4901 0.5225 1
Sn2 0.8349 0.4314 0.3897 1
Sn3 0.8551 0.4102 0.8621 1
Sn4 0.9838 0.0374 0.4198 1
```

=====

No. 2
Density functional theory data (GGA-PBE) for crystalline K5Na at its relaxed geometry.

E = -6.8 eV/f.u.
Density of states at the Fermi level = 3.2 states/eV/f.u.
Energy of formation from the pure elements = 9 meV/atom
Polymorph energy (0 for the lowest one) = 0.000 eV per atom
Magnetization = 0.0 μB per cell

Structure (CIF):
```
data_K5Na
_cell_length_a 4.8275
_cell_length_b 16.0041
_cell_length_c 10.1701
_cell_angle_alpha 90.00
_cell_angle_beta 90.00
_cell_angle_gamma 90.00
_symmetry_space_group_name_H-M 'P m m n'
_symmetry_Int_Tables_number 59
loop_
_symmetry_equiv_pos_as_xyz
'x,y,z'
'-x,-y,-z'
'-x+1/2,-y+1/2,z'
'x+1/2,y+1/2,-z'
'x+1/2,-y,-z'
'-x+1/2,y,z'
'-x,y+1/2,-z'
'x,-y+1/2,z'
loop_
_atom_site_label
_atom_site_fract_x
_atom_site_fract_y
_atom_site_fract_z
_atom_site_occupancy
K1 0.2500 0.0786 0.1490 1
K2 0.2500 0.1052 0.5958 1
K3 0.2500 0.7500 0.1046 1
Na1 0.2500 0.7500 0.6522 1
```

=====

No. 3
Density functional theory data (GGA-PBE) for crystalline SrScCr2 at its relaxed geometry.

E = -23.7 eV/f.u.
Density of states at the Fermi level = 4.6 states/eV/f.u.
Energy of formation from the pure elements = 900 meV/atom
Polymorph energy (0 for the lowest one) = 0.431 eV per atom
Magnetization = 19.6 μB per cell

Structure (CIF):
```
data_SrScCr2
_cell_length_a 3.3375
_cell_length_b 3.3375
_cell_length_c 29.3337
_cell_angle_alpha 90.00
_cell_angle_beta 90.00
_cell_angle_gamma 120.00
_symmetry_space_group_name_H-M 'R -3 m'
_symmetry_Int_Tables_number 166
_symmetry_space_group_name_Hall '-R 3 2"'
loop_
_atom_site_label
_atom_site_fract_x
_atom_site_fract_y
_atom_site_fract_z
_atom_site_occupancy
Sr1 0.0000 0.0000 0.0000 1
Sc1 0.0000 0.0000 0.5000 1
Cr1 0.0000 0.0000 0.2409 1
```

=====

No. 4
Density functional theory data (GGA-PBE) for crystalline BaBe2CrHg at its relaxed geometry.

E = -7.2 eV/f.u.
Density of states at the Fermi level = 4.9 states/eV/f.u.
Energy of formation from the pure elements = 2412 meV/atom
Magnetization = 0.8 μB per cell

Structure (CIF):
```
data_BaBe2CrHg
_cell_length_a 5.5323
_cell_length_b 5.5323
_cell_length_c 6.1100
_cell_angle_alpha 90.00
_cell_angle_beta 90.00
_cell_angle_gamma 90.00
_symmetry_space_group_name_H-M 'P 4/m m m'
_symmetry_Int_Tables_number 123
_symmetry_space_group_name_Hall '-P 4 2'
loop_
_atom_site_label
_atom_site_fract_x
_atom_site_fract_y
_atom_site_fract_z
_atom_site_occupancy
Ba1 0.0000 0.0000 0.0000 1
Be1 0.0000 0.5000 0.0000 1
Cr1 0.5000 0.5000 0.5000 1
Hg1 0.0000 0.0000 0.5000 1
```

=====

No. 5
Density functional theory data (GGA-PBE) for crystalline Tl2TcAg at its relaxed geometry.

E = -15.2 eV/f.u.
Density of states at the Fermi level = 3.5 states/eV/f.u.
Energy of formation from the pure elements = 694 meV/atom
Polymorph energy (0 for the lowest one) = 0.162 eV per atom
Magnetization = 2.1 μB per cell

Structure (CIF):
```
data_Tl2TcAg
_cell_length_a 4.3879
_cell_length_b 4.3879
_cell_length_c 8.4184
_cell_angle_alpha 90.00
_cell_angle_beta 90.00
_cell_angle_gamma 90.00
_symmetry_space_group_name_H-M 'I 4/m m m'
_symmetry_Int_Tables_number 139
_symmetry_space_group_name_Hall '-I 4 2'
loop_
_atom_site_label
_atom_site_fract_x
_atom_site_fract_y
_atom_site_fract_z
_atom_site_occupancy
Tl1 0.0000 0.5000 0.2500 1
Tc1 0.0000 0.0000 0.0000 1
Ag1 0.0000 0.0000 0.5000 1
```